Density functional theory data (PBE) for a relaxed structure of LiCe2N2Cl2.

Cell lengths 3.9639, 3.9639, 11.4862 Å; angles 90.00, 90.00, 120.00 degrees
Last column: magnetic moment on the atom in μB.
Positions (direct):
Li 0.0000 0.0000 0.0000  0.00
Ce 0.6667 0.3333 0.3802  0.51
Ce 0.3333 0.6667 0.6198  0.51
N 0.6667 0.3333 0.5798  -0.04
N 0.3333 0.6667 0.4202  -0.04
Cl 0.0000 0.0000 0.8115  0.00
Cl 0.0000 0.0000 0.1885  0.00

Summary:
The calculation puts the energy relative to the elements, uncorrected at -161.69 kJ per mole of atoms. Its density of states at the Fermi level is 5.713 states/eV/cell.

Density functional theory data (PBE) for a relaxed structure of UCoSn2.

Cell lengths 3.1012, 3.1012, 10.4893 Å; angles 81.50, 81.50, 60.00 degrees
Last column: magnetic moment on the atom in μB.
Positions (direct):
Co 0.5000 0.5000 0.5000  0.81
U 0.0000 0.0000 0.0000  2.25
Sn 0.1031 0.1031 0.6906  -0.02
Sn 0.8969 0.8969 0.3094  -0.02

Summary:
The calculation puts the calculated formation energy at 0.35 eV per atom. Its density of states at the Fermi level is 7.279 states/eV/cell.

Density functional theory data (PBE) for a relaxed structure of FePbAu2.

Cell lengths 4.3681, 3.1722, 5.8597 Å; angles 89.92, 90.00, 90.00 degrees
Last column: magnetic moment on the atom in μB.
Positions (direct):
Au 0.0000 0.1253 0.0100  0.02
Au 0.5000 0.1245 0.3158  0.02
Fe 0.0000 0.6237 0.4067  3.01
Pb 0.5000 0.6264 0.7674  -0.02

Summary:
The calculation puts the calculated formation energy at 0.28 eV per atom. Its density of states at the Fermi level is 3.457 states/eV/cell.

Density functional theory data (PBE) for a relaxed structure of MnBeS2N.

Cell lengths 4.6526, 4.6526, 3.4264 Å; angles 90.00, 90.00, 90.00 degrees
Last column: magnetic moment on the atom in μB.
Positions (direct):
Be 0.5000 0.5000 0.5000  0.01
S 0.0000 0.5000 0.0000  -0.01
S 0.5000 0.0000 0.0000  -0.01
Mn 0.0000 0.0000 0.0000  1.82
N 0.0000 0.0000 0.5000  -0.21

Summary:
The calculation puts the energy relative to the elements, uncorrected at 47.89 kJ per mole of atoms. Its density of states at the Fermi level is 1.892 states/eV/cell.

Density functional theory data (PBE) for a relaxed structure of Nd2HgGe.

Cell lengths 4.3730, 6.2036, 8.8732 Å; angles 112.29, 90.00, 90.00 degrees
Positions (direct):
Nd 0.7500 0.2187 0.4383
Nd 0.2500 0.7813 0.5617
Nd 0.2500 0.7749 0.0767
Nd 0.7500 0.2251 0.9233
Hg 0.2500 0.3314 0.2079
Hg 0.7500 0.6686 0.7921
Ge 0.7500 0.6752 0.2915
Ge 0.2500 0.3248 0.7085

Summary:
The calculation puts the calculated formation energy at -0.61 eV per atom. Its density of states at the Fermi level is 11.073 states/eV/cell.

Density functional theory data (PBE) for a relaxed structure of AuO.

Cell lengths 6.6923, 6.6923, 3.0111 Å; angles 90.00, 90.00, 90.00 degrees
Positions (direct):
Au 0.3071 0.3071 0.0000
Au 0.8071 0.1929 0.5000
Au 0.1929 0.8071 0.5000
Au 0.6929 0.6929 0.0000
O 0.3569 0.6431 0.0000
O 0.8569 0.8569 0.5000
O 0.1431 0.1431 0.5000
O 0.6431 0.3569 0.0000

Summary:
The calculation puts the energy relative to the elements, uncorrected at 46.04 kJ per mole of atoms. Its density of states at the Fermi level is 4.430 states/eV/cell.

Quick rundown of total moment, same order as above: 1.072; 3.266; 3.058; 1.662; 0.003; 0.000 μB per cell
Quick rundown of volume, same order as above: 22.3; 21.5; 20.3; 14.8; 27.8; 16.9 Å³ per atom